PBE+U CrGeSO, relaxed; volume = 73.7 Å³ per cell; total DFT energy (no corrections) = -6.059 eV per atom
1.0
4.055 -1.638 0.000
4.055 1.638 0.000
-2.208 0.000 5.548
Cr Ge S O
1 1 1 1
direct
0.000 0.000 0.000
0.364 0.364 0.411
0.606 0.606 0.780
0.469 0.469 0.192